UNi2PtO8 after structural relaxation. Source: Alexandria via LeMat-Bulk, functional PBE with a Hubbard U.

a b c (Å): 6.5118 6.8063 6.3515
angles (deg): 90.00 90.00 90.00
Space group Cmmm (No. 65)
Asymmetric unit:
U 0.0000 0.0000 0.0000 (multiplicity 2)
Ni 0.0000 0.5000 0.2591 (multiplicity 4)
Pt 0.0000 0.0000 0.5000 (multiplicity 2)
O 0.0000 0.1963 0.2607 (multiplicity 8)
O 0.1935 0.5000 0.0000 (multiplicity 4)
O 0.2016 0.5000 0.5000 (multiplicity 4)

Summary:
Energy   -6.623 eV per atom
N(E_F)   8.8 states/eV/cell
Total magnetization   7.974 μB/cell